{"formula": "CaSb2TeSe", "functional": "PBEsol", "state": "optimized geometry", "vol_a3_per_fu": 156.9, "e_form_raw_ev_per_atom": -0.010, "spacegroup": "P4/mmm (123)", "crystal_system": "tetragonal", "density_g_cm3": 5.2, "lattice_angstrom": [[5.328, 0.000, 0.000], [0.000, 5.328, 0.000], [0.000, 0.000, 5.527]], "species": ["Ca", "Sb", "Sb", "Te", "Se"], "fractional_positions": [[0.000, 0.000, 0.000], [0.000, 0.500, 0.500], [0.500, 0.000, 0.500], [0.500, 0.500, 0.000], [0.500, 0.500, 0.500]]}